Entry from the Alexandria database: Ca2NiAu after structural relaxation (PBE-GGA).

Calculated values
**ΔH_f (0 K)**: -103 meV per atom

abc: 7.7477 7.7477 6.1269
angles: 90.00 90.00 90.00
Closest atoms and distances in Å follow each position.
Space group I-42d (No. 122)
Unique sites:
Ca 0.2228 0.2500 0.1250 [8 per cell]  2 Ni 2.71, 2 Au 2.99
Ni 0.0000 0.0000 0.0000 [4 per cell]  4 Ca 2.71
Au 0.0000 0.0000 0.5000 [4 per cell]  4 Ca 2.99, 2 Ni 3.06



Entry from the Alexandria database: CaNiAu2 after structural relaxation (PBE-GGA).

Calculated values
**ΔH_f (0 K)**: -216 meV per atom

abc: 6.6775 6.6775 6.6775
angles: 90.00 90.00 90.00
Closest atoms and distances in Å follow each position.
Space group F-43m (No. 216)
Unique sites:
Ca 0.0000 0.0000 0.0000 [4 per cell]  4 Ni 2.89, 4 Au 2.89
Ni 0.2500 0.2500 0.7500 [4 per cell]  4 Ca 2.89, 4 Au 2.89
Au 0.0000 0.0000 0.5000 [4 per cell]  4 Ni 2.89, 4 Au 2.89
Au 0.2500 0.2500 0.2500 [4 per cell]  4 Ca 2.89, 4 Au 2.89



Entry from the Alexandria database: CaNiAu2 after structural relaxation (PBE-GGA).

Calculated values
**ΔH_f (0 K)**: -264 meV per atom

abc: 3.2832 3.4845 6.6029
angles: 90.00 90.00 90.00
Closest atoms and distances in Å follow each position.
Space group Pmmm (No. 47)
Unique sites:
Ca 0.0000 0.0000 0.0000 [1 per cell]  8 Au 3.07, 2 Ca 3.28, 2 Ni 3.30
Ni 0.0000 0.0000 0.5000 [1 per cell]  8 Au 2.77
Au 0.5000 0.5000 0.2902 [2 per cell]  4 Ni 2.77, 1 Au 2.77, 4 Ca 3.07



Entry from the Alexandria database: CaNiAu2 after structural relaxation (PBE-GGA).

Calculated values
**ΔH_f (0 K)**: -301 meV per atom

abc: 4.0554 4.2378 8.5172
angles: 90.00 90.00 90.00
Closest atoms and distances in Å follow each position.
Space group Imm2 (No. 44)
Unique sites:
Ca 0.0000 0.0000 0.0000 [2 per cell]  8 Au 2.93-2.98, 4 Ni 2.96-2.98
Ni 0.0000 0.5000 0.7535 [2 per cell]  8 Au 2.86-3.09, 4 Ca 2.96-2.98
Au 0.0000 0.0000 0.4898 [2 per cell]  4 Ni 2.86-3.09, 4 Ca 2.93, 4 Au 2.97-2.98
Au 0.0000 0.5000 0.2442 [2 per cell]  4 Ni 2.93, 4 Au 2.97-2.98, 4 Ca 2.97-2.98



Entry from the Alexandria database: CaNi2Au after structural relaxation (PBE-GGA).

Calculated values
**ΔH_f (0 K)**: -215 meV per atom

abc: 4.2227 4.2227 14.7399
angles: 90.00 90.00 120.00
Closest atoms and distances in Å follow each position.
Space group R3m (No. 160, hexagonal axes)
Unique sites:
Ca 0.0000 0.0000 0.0000 [3 per cell]  4 Ni 2.88-3.18, 4 Au 2.95-3.13
Ni 0.0000 0.0000 0.4784 [3 per cell]  3 Ni 2.44, 3 Au 2.57
Ni 0.0000 0.0000 0.8047 [3 per cell]  3 Ni 2.44, 3 Au 2.61
Au 0.0000 0.0000 0.2004 [3 per cell]  6 Ni 2.57-2.61



Entry from the Alexandria database: CaNi2Au after structural relaxation (PBE-GGA).

Calculated values
**ΔH_f (0 K)**: 35 meV per atom

abc: 3.0776 3.6503 6.0365
angles: 90.00 90.00 90.00
Closest atoms and distances in Å follow each position.
Space group Pmmm (No. 47)
Unique sites:
Ca 0.0000 0.0000 0.0000 [1 per cell]  8 Ni 2.98, 2 Au 3.02, 2 Ca 3.08
Ni 0.5000 0.5000 0.2968 [2 per cell]  1 Ni 2.45, 4 Au 2.68
Au 0.0000 0.0000 0.5000 [1 per cell]  8 Ni 2.68



Entry from the Alexandria database: Ca8Ni2Au after structural relaxation (PBE-GGA).

Calculated values
**ΔH_f (0 K)**: 0 meV per atom

abc: 5.9423 8.8238 8.8297
angles: 60.06 89.99 89.99
Closest atoms and distances in Å follow each position.
Space group P-1 (No. 2)
Unique sites:
Ca 0.2440 0.1667 0.1664 [2 per cell]  2 Ni 2.96-2.98
Ca 0.2539 0.1748 0.6640 [2 per cell]  1 Ni 2.61, 1 Au 2.91
Ca 0.2538 0.6609 0.1748 [2 per cell]  1 Ni 2.61, 1 Au 2.91
Ca 0.2539 0.6643 0.6610 [2 per cell]  1 Ni 2.61, 1 Au 2.91
Ni 0.2579 0.8333 0.8336 [2 per cell]  3 Ca 2.61
Au 0.0000 0.5000 0.5000 [1 per cell]  6 Ca 2.91



Entry from the Alexandria database: CaNi2Au after structural relaxation (PBE-GGA).

Calculated values
**ΔH_f (0 K)**: 92 meV per atom

abc: 2.9469 4.4719 5.3219
angles: 90.00 99.46 90.00
Closest atoms and distances in Å follow each position.
Space group P2/m (No. 10)
Unique sites:
Ca 0.0000 0.0000 0.0000 [1 per cell]  2 Au 2.82, 2 Ca 2.95, 4 Ni 2.97
Ni 0.2970 0.5000 0.6977 [2 per cell]  2 Ni 2.51-2.59, 2 Au 2.58
Au 0.5000 0.0000 0.5000 [1 per cell]  4 Ni 2.58, 2 Ca 2.82